Density functional theory data (GGA-PBE) for crystalline Pr2MgGa7 at its relaxed geometry.

Output
spin magnetization	0.000	μB/atom
formation energy from the elements	-434	kJ/mol of formula units

Cell lengths 4.3206, 4.3206, 11.1890 Å; angles 90.00, 90.00, 90.00 degrees
Closest atoms and distances in Å follow each position.
Sites, in units of the cell vectors:
1 Pr 0.5000 0.0000 0.7444  14 Ga 3.29-3.58, 2 Mg 3.58
2 Pr 0.0000 0.5000 0.2556  14 Ga 3.29-3.58, 2 Mg 3.58
3 Mg 0.5000 0.5000 0.0000  4 Ga 2.68
4 Ga 0.0000 0.5000 0.8575  3 Ga 2.49-2.68, 2 Mg 2.68
5 Ga 0.5000 0.0000 0.3652  5 Ga 2.49-2.63
6 Ga 0.5000 0.0000 0.1425  3 Ga 2.49-2.68, 2 Mg 2.68
7 Ga 0.0000 0.5000 0.6348  5 Ga 2.49-2.63
8 Ga 0.0000 0.0000 0.5000  4 Ga 2.63
9 Ga 0.0000 0.0000 0.0000  4 Ga 2.68
10 Ga 0.5000 0.5000 0.5000  4 Ga 2.63


Density functional theory data (GGA-PBE) for crystalline HoTh2Sc8 at its relaxed geometry.

Output
energy above the lowest structure with this stoichiometry	1.642	eV per formula unit
spin magnetization	0.000	μB/atom
formation energy from the elements	199	kJ/mol of formula units

Cell lengths 5.6015, 8.5432, 8.7370 Å; angles 60.73, 73.62, 54.78 degrees
Closest atoms and distances in Å follow each position.
Sites, in units of the cell vectors:
1 Ho 0.5000 0.0000 0.0000  4 Sc 3.16-3.20
2 Th 0.0000 0.3057 0.3886  10 Sc 3.18-3.51
3 Th 0.0000 0.6943 0.6114  10 Sc 3.18-3.51
4 Sc 0.8120 0.1018 0.2347  4 Sc 2.98-3.33, 1 Th 3.25
5 Sc 0.8120 0.3365 0.7653  4 Sc 2.98-3.33, 1 Th 3.25
6 Sc 0.2922 0.4366 0.0000  4 Sc 2.79-3.08
7 Sc 0.5000 0.7926 0.4148  1 Ho 3.16, 4 Th 3.18-3.51, 6 Sc 3.33-3.50
8 Sc 0.5000 0.2074 0.5852  1 Ho 3.16, 4 Th 3.18-3.51, 6 Sc 3.33-3.50
9 Sc 0.7078 0.5634 0.0000  4 Sc 2.79-3.08
10 Sc 0.1880 0.6635 0.2347  4 Sc 2.98-3.33, 1 Th 3.25
11 Sc 0.1880 0.8982 0.7653  4 Sc 2.98-3.33, 1 Th 3.25


Density functional theory data (GGA-PBE) for crystalline Zn2InAgTe at its relaxed geometry.

Output
spin magnetization	0.000	μB/atom

Cell lengths 4.9462, 5.4794, 4.9462 Å; angles 90.00, 90.00, 90.00 degrees
Closest atoms and distances in Å follow each position.
Sites, in units of the cell vectors:
1 Zn 0.0000 0.0000 0.5000  2 Ag 2.47
2 Zn 0.5000 0.0000 0.0000  2 Ag 2.47
3 Te 0.5000 0.5000 0.5000  4 In 3.50, 8 Zn 3.69
4 Ag 0.0000 0.0000 0.0000  4 Zn 2.47, 2 In 2.74
5 In 0.0000 0.5000 0.0000  2 Ag 2.74


Density functional theory data (GGA-PBE) for crystalline LiMnNb2 at its relaxed geometry.

Output
energy above the lowest structure with this stoichiometry	1.630	eV per formula unit
spin magnetization	0.000	μB/atom
formation energy from the elements	227	kJ/mol of formula units

Cell lengths 6.8600, 6.8600, 5.5610 Å; angles 51.92, 51.92, 90.00 degrees
Closest atoms and distances in Å follow each position.
Sites, in units of the cell vectors:
1 Nb 0.6497 0.1250 0.2500  2 Mn 2.41, 2 Li 2.64
2 Nb 0.1003 0.6250 0.2500  2 Mn 2.41, 2 Li 2.64
3 Nb 0.3750 0.3503 0.7500  2 Mn 2.41, 2 Li 2.64
4 Nb 0.8750 0.8997 0.7500  2 Mn 2.41, 2 Li 2.64
5 Mn 0.0000 0.0000 0.0000  4 Nb 2.41
6 Mn 0.7500 0.2500 0.5000  4 Nb 2.41
7 Li 0.5000 0.5000 0.0000  4 Nb 2.64, 2 Mn 2.72
8 Li 0.2500 0.7500 0.5000  4 Nb 2.64, 2 Mn 2.72


Density functional theory data (GGA-PBE) for crystalline PrGdTc at its relaxed geometry.

Output
spin magnetization	2.395	μB/atom
formation energy from the elements	21	kJ/mol of formula units

Cell lengths 3.5150, 3.5150, 7.0163 Å; angles 104.51, 104.51, 90.00 degrees
Closest atoms and distances in Å follow each position.
Sites, in units of the cell vectors:
1 Pr 0.2965 0.2965 0.5930  4 Tc 3.04, 1 Gd 3.36
2 Gd 0.0402 0.0402 0.0805  4 Tc 2.96
3 Tc 0.6633 0.6633 0.3265  4 Gd 2.96, 4 Pr 3.04


Density functional theory data (GGA-PBE) for crystalline PmBe2BIr at its relaxed geometry.

Output
spin magnetization	0.000	μB/atom
formation energy from the elements	-169	kJ/mol of formula units

Cell lengths 3.5172, 3.6378, 5.9949 Å; angles 107.66, 107.06, 90.00 degrees
Closest atoms and distances in Å follow each position.
Sites, in units of the cell vectors:
1 Pm 0.4328 0.4328 0.8656  4 B 2.90, 6 Be 2.97-3.04, 2 Ir 3.16
2 Be 0.7050 0.2050 0.4100  2 B 2.11, 2 Be 2.25
3 Be 0.0759 0.0759 0.1518  2 Ir 2.23, 2 Be 2.25
4 B 0.8033 0.8033 0.6066  2 Be 2.11, 2 Ir 2.12
5 Ir 0.1951 0.6951 0.3903  2 B 2.12, 2 Be 2.23


Density functional theory data (GGA-PBE) for crystalline Cd4TeBr at its relaxed geometry.

Output
spin magnetization	0.000	μB/atom

Cell lengths 6.0409, 6.0409, 6.0409 Å; angles 60.00, 60.00, 60.00 degrees
Closest atoms and distances in Å follow each position.
Sites, in units of the cell vectors:
1 Cd 0.1254 0.6249 0.6249  6 Cd 3.02
2 Cd 0.6249 0.6249 0.6249  6 Cd 3.02
3 Cd 0.6249 0.1254 0.6249  6 Cd 3.02
4 Cd 0.6249 0.6249 0.1254  6 Cd 3.02
5 Te 0.2500 0.2500 0.2500  12 Cd 3.54, 4 Br 3.70
6 Br 0.0000 0.0000 0.0000  12 Cd 3.54, 4 Te 3.70


Density functional theory data (GGA-PBE) for crystalline CaLaAl at its relaxed geometry.

Output
energy above the lowest structure with this stoichiometry	0.419	eV per formula unit
spin magnetization	0.000	μB/atom
formation energy from the elements	-41	kJ/mol of formula units

Cell lengths 6.5301, 3.8216, 8.1392 Å; angles 103.58, 102.40, 72.97 degrees
Closest atoms and distances in Å follow each position.
Sites, in units of the cell vectors:
1 Ca 0.1621 0.2493 0.8816  4 Al 3.23-3.24
2 Ca 0.4945 0.4389 0.5940  4 Al 3.23-3.24
3 Al 0.7474 0.9612 0.8911  1 Al 2.77
4 Al 0.9093 0.7270 0.5845  1 Al 2.77
5 La 0.0496 0.0092 0.2886  3 Al 3.25-3.40, 2 La 3.35
6 La 0.6070 0.6790 0.1870  3 Al 3.25-3.40, 2 La 3.35


Density functional theory data (GGA-PBE) for crystalline InGeS2N at its relaxed geometry.

Output
energy above the lowest structure with this stoichiometry	1.995	eV per formula unit
spin magnetization	0.400	μB/atom

Cell lengths 5.2054, 5.2054, 4.2035 Å; angles 90.00, 90.00, 90.00 degrees
Closest atoms and distances in Å follow each position.
Sites, in units of the cell vectors:
1 Ge 0.5000 0.5000 0.5000  8 S 3.35, 4 N 3.68
2 N 0.0000 0.0000 0.5000  2 In 2.10
3 S 0.0000 0.5000 0.0000  2 In 2.60
4 S 0.5000 0.0000 0.0000  2 In 2.60
5 In 0.0000 0.0000 0.0000  2 N 2.10


Density functional theory data (GGA-PBE) for crystalline RbIrOs at its relaxed geometry.

Output
energy above the lowest structure with this stoichiometry	0.878	eV per formula unit
spin magnetization	0.000	μB/atom
formation energy from the elements	241	kJ/mol of formula units

Cell lengths 4.0319, 4.0319, 11.8907 Å; angles 90.00, 90.00, 120.00 degrees
Closest atoms and distances in Å follow each position.
Sites, in units of the cell vectors:
1 Ir 0.0000 0.0000 0.2730  3 Os 2.39
2 Ir 0.0000 0.0000 0.7270  3 Os 2.39
3 Os 0.3333 0.6667 0.2281  3 Ir 2.39
4 Os 0.3333 0.6667 0.7719  3 Ir 2.39
5 Rb 0.6667 0.3333 0.0000  6 Os 3.57, 6 Ir 3.99
6 Rb 0.6667 0.3333 0.5000  6 Ir 3.56, 6 Os 3.98


Density functional theory data (GGA-PBE) for crystalline InTe2Cl at its relaxed geometry.

Output
energy above the lowest structure with this stoichiometry	0.458	eV per formula unit
spin magnetization	0.000	μB/atom

Cell lengths 5.1098, 5.1098, 7.5329 Å; angles 73.98, 73.98, 49.33 degrees
Closest atoms and distances in Å follow each position.
Sites, in units of the cell vectors:
1 Cl 0.5499 0.5499 0.4201  3 In 2.91-2.96
2 Te 0.9550 0.9550 0.9613  1 Te 2.75
3 Te 0.7155 0.7155 0.8184  1 Te 2.75
4 In 0.2796 0.2796 0.3002  3 Cl 2.91-2.96


Density functional theory data (GGA-PBE) for crystalline YReNi2 at its relaxed geometry.

Output
energy above the lowest structure with this stoichiometry	1.611	eV per formula unit
spin magnetization	0.421	μB/atom
formation energy from the elements	122	kJ/mol of formula units

Cell lengths 5.1030, 5.1030, 5.1030 Å; angles 136.11, 136.11, 63.81 degrees
Closest atoms and distances in Å follow each position.
Sites, in units of the cell vectors:
1 Ni 0.0000 0.0000 0.0000  4 Re 2.70, 4 Ni 2.89, 4 Y 2.89
2 Ni 0.2500 0.7500 0.5000  4 Y 2.70, 4 Re 2.89, 4 Ni 2.89
3 Re 0.5000 0.5000 0.0000  8 Ni 2.70-2.89, 4 Y 2.89
4 Y 0.7500 0.2500 0.5000  8 Ni 2.70-2.89, 4 Re 2.89


no.,raw total energy (eV/atom)
1,-3.684
2,-6.183
3,-2.033
4,-7.217
5,-9.669
6,-5.898
7,-1.400
8,-3.698
9,-3.939
10,-6.188
11,-2.973
12,-7.304